Ac2Ge3Au2: relaxed, PBE-GGA.

## Properties
The polymorph energy (0 for the lowest one) comes out at 0 meV/atom. The value obtained for the formation energy is -669.5 meV per atom.

Lattice parameters (Å, degrees): 4.7320 19.7675 7.3087 90.00 90.00 90.00
Space group Cmcm (No. 63)
Symmetry-distinct sites (fractional):
Ac (0.0000, 0.0528, 0.2500) [4 per cell]
Ac (0.0000, 0.1593, 0.7500) [4 per cell]
Ge (0.0000, 0.2224, 0.2500) [4 per cell]
Ge (0.0000, 0.4417, 0.0731) [8 per cell]
Au (0.0000, 0.3153, 0.5555) [8 per cell]


Ac12Ge5Au2: relaxed, PBE-GGA.

## Properties
The value obtained for the formation energy is -447.3 meV per atom.

Lattice parameters (Å, degrees): 18.2507 8.0105 10.0928 90.00 103.76 90.00
Space group C2/m (No. 12)
Symmetry-distinct sites (fractional):
Ac (0.0070, 0.0000, 0.2852) [4 per cell]
Ac (0.0128, 0.5000, 0.8151) [4 per cell]
Ac (0.1494, 0.2586, 0.5681) [8 per cell]
Ac (0.1730, 0.2432, 0.0979) [8 per cell]
Ge (0.0000, 0.5000, 0.5000) [2 per cell]
Ge (0.1797, 0.0000, 0.8268) [4 per cell]
Ge (0.1995, 0.0000, 0.3616) [4 per cell]
Au (0.0000, 0.1820, 0.0000) [4 per cell]


Ac2Ge3Au2: relaxed, PBE-GGA.

## Properties
The polymorph energy (0 for the lowest one) comes out at 63 meV/atom. The value obtained for the formation energy is -606.3 meV per atom.

Lattice parameters (Å, degrees): 10.8567 4.6368 7.1065 90.00 106.25 90.00
Space group C2/m (No. 12)
Symmetry-distinct sites (fractional):
Ac (0.1457, 0.0000, 0.2837) [4 per cell]
Ge (0.0000, 0.5000, 0.5000) [2 per cell]
Ge (0.0978, 0.5000, 0.9335) [4 per cell]
Au (0.1589, 0.0000, 0.7781) [4 per cell]


AcGe2Au: relaxed, PBE-GGA.

## Properties
The polymorph energy (0 for the lowest one) comes out at 246 meV/atom. The value obtained for the formation energy is -353.3 meV per atom.

Lattice parameters (Å, degrees): 4.6075 4.6075 4.5877 90.00 90.00 90.00
Space group P4/mmm (No. 123)
Symmetry-distinct sites (fractional):
Ac (0.0000, 0.0000, 0.0000) [1 per cell]
Ge (0.0000, 0.5000, 0.5000) [2 per cell]
Au (0.5000, 0.5000, 0.0000) [1 per cell]


Ac2Ge2Au: relaxed, PBE-GGA.

## Properties
The polymorph energy (0 for the lowest one) comes out at 97 meV/atom. The value obtained for the formation energy is -659.0 meV per atom.

Lattice parameters (Å, degrees): 4.2092 4.5089 14.4929 90.00 90.00 90.00
Space group Amm2 (No. 38)
Symmetry-distinct sites (fractional):
Ac (0.0000, 0.0000, 0.0000) [2 per cell]
Ac (0.0000, 0.0000, 0.2438) [2 per cell]
Ge (0.5000, 0.0000, 0.6240) [2 per cell]
Ge (0.5000, 0.0000, 0.8198) [2 per cell]
Au (0.5000, 0.0000, 0.4220) [2 per cell]


AcGe3Au2: relaxed, PBE-GGA.

## Properties
The polymorph energy (0 for the lowest one) comes out at 0 meV/atom. The value obtained for the formation energy is -432.9 meV per atom.

Lattice parameters (Å, degrees): 4.5134 4.5134 26.5756 90.00 90.00 90.00
Space group I4/mmm (No. 139)
Symmetry-distinct sites (fractional):
Ac (0.0000, 0.0000, 0.1501) [4 per cell]
Ge (0.0000, 0.0000, 0.3039) [4 per cell]
Ge (0.0000, 0.5000, 0.0474) [8 per cell]
Au (0.0000, 0.0000, 0.4010) [4 per cell]
Au (0.0000, 0.5000, 0.2500) [4 per cell]


Ac2GeAu: relaxed, PBE-GGA.

## Properties
The value obtained for the formation energy is -675.0 meV per atom.

Lattice parameters (Å, degrees): 5.4969 5.4969 3.9709 90.00 90.00 90.00
Space group P4/mmm (No. 123)
Symmetry-distinct sites (fractional):
Ac (0.0000, 0.5000, 0.0000) [2 per cell]
Ge (0.0000, 0.0000, 0.5000) [1 per cell]
Au (0.5000, 0.5000, 0.5000) [1 per cell]


Ac3GeAu: relaxed, PBE-GGA.

## Properties
The value obtained for the formation energy is -511.3 meV per atom.

Lattice parameters (Å, degrees): 5.1553 6.8380 10.5260 79.97 89.51 68.08
Space group P-1 (No. 2)
Symmetry-distinct sites (fractional):
Ac (0.0789, 0.3371, 0.3566) [2 per cell]
Ac (0.3436, 0.8072, 0.9165) [2 per cell]
Ac (0.3645, 0.7683, 0.3201) [2 per cell]
Ge (0.2747, 0.9583, 0.6127) [2 per cell]
Au (0.0911, 0.3343, 0.9055) [2 per cell]


AcGeAu4: relaxed, PBE-GGA.

## Properties
The polymorph energy (0 for the lowest one) comes out at 0 meV/atom. The value obtained for the formation energy is -426.4 meV per atom.

Lattice parameters (Å, degrees): 5.2201 14.8471 7.1836 90.00 90.00 90.00
Space group Cmcm (No. 63)
Symmetry-distinct sites (fractional):
Ac (0.0000, 0.1089, 0.2500) [4 per cell]
Ge (0.0000, 0.3731, 0.2500) [4 per cell]
Au (0.0000, 0.1061, 0.7500) [4 per cell]
Au (0.0000, 0.2855, 0.5591) [8 per cell]
Au (0.0000, 0.5000, 0.0000) [4 per cell]


AcGe2Au3: relaxed, PBE-GGA.

## Properties
The value obtained for the formation energy is -480.4 meV per atom.

Lattice parameters (Å, degrees): 16.8806 4.5912 7.5906 90.00 115.27 90.00
Space group C2/m (No. 12)
Symmetry-distinct sites (fractional):
Ac (0.1488, 0.0000, 0.0786) [4 per cell]
Ge (0.0133, 0.5000, 0.1804) [4 per cell]
Ge (0.1931, 0.0000, 0.6922) [4 per cell]
Au (0.0441, 0.0000, 0.3689) [4 per cell]
Au (0.1215, 0.5000, 0.7333) [4 per cell]
Au (0.1844, 0.5000, 0.4252) [4 per cell]


AcGe2Au8: relaxed, PBE-GGA.

## Properties
The value obtained for the formation energy is -42.6 meV per atom.

Lattice parameters (Å, degrees): 5.6172 5.6172 8.8285 90.00 90.00 90.00
Space group P4/mmm (No. 123)
Symmetry-distinct sites (fractional):
Ac (0.0000, 0.0000, 0.0000) [1 per cell]
Ge (0.0000, 0.5000, 0.5000) [2 per cell]
Au (0.2531, 0.2531, 0.2828) [8 per cell]


Ac2Ge3Au5: relaxed, PBE-GGA.

## Properties
The polymorph energy (0 for the lowest one) comes out at 83 meV/atom. The value obtained for the formation energy is -518.1 meV per atom.

Lattice parameters (Å, degrees): 4.9043 4.9043 9.7809 90.00 90.00 90.00
Space group P-4m2 (No. 115)
Symmetry-distinct sites (fractional):
Ac (0.0000, 0.5000, 0.2407) [2 per cell]
Ge (0.0000, 0.5000, 0.6069) [2 per cell]
Ge (0.5000, 0.5000, 0.5000) [1 per cell]
Au (0.0000, 0.0000, 0.0000) [1 per cell]
Au (0.0000, 0.0000, 0.5000) [1 per cell]
Au (0.0000, 0.5000, 0.8608) [2 per cell]
Au (0.5000, 0.5000, 0.0000) [1 per cell]


AcGe2Au: relaxed, PBE-GGA.

## Properties
The polymorph energy (0 for the lowest one) comes out at 198 meV/atom. The value obtained for the formation energy is -400.8 meV per atom.

Lattice parameters (Å, degrees): 4.2993 6.0324 8.2355 90.00 90.00 90.00
Space group Amm2 (No. 38)
Symmetry-distinct sites (fractional):
Ac (0.0000, 0.0000, 0.0000) [2 per cell]
Ge (0.5000, 0.2040, 0.2825) [4 per cell]
Au (0.5000, 0.0000, 0.5636) [2 per cell]


AcGe4Au8: relaxed, PBE-GGA.

## Properties
The value obtained for the formation energy is 130.0 meV per atom.

Lattice parameters (Å, degrees): 7.5752 7.5752 21.9910 90.00 90.00 120.00
Space group R-3m (No. 166, hexagonal axes)
Symmetry-distinct sites (fractional):
Ac (0.0000, 0.0000, 0.0000) [3 per cell]
Ge (0.0000, 0.0000, 0.5000) [3 per cell]
Ge (0.0000, 0.5000, 0.0000) [9 per cell]
Au (0.0000, 0.0000, 0.2669) [6 per cell]
Au (0.0542, 0.5271, 0.2520) [18 per cell]


Ac3Ge3Au: relaxed, PBE-GGA.

## Properties
The polymorph energy (0 for the lowest one) comes out at 0 meV/atom. The value obtained for the formation energy is -734.2 meV per atom.

Lattice parameters (Å, degrees): 4.4296 4.6017 19.7169 90.00 90.00 90.00
Space group Imm2 (No. 44)
Symmetry-distinct sites (fractional):
Ac (0.0000, 0.0000, 0.0000) [2 per cell]
Ac (0.0000, 0.0000, 0.3666) [2 per cell]
Ac (0.0000, 0.5000, 0.6847) [2 per cell]
Ge (0.0000, 0.0000, 0.5410) [2 per cell]
Ge (0.0000, 0.0000, 0.8269) [2 per cell]
Ge (0.0000, 0.5000, 0.2473) [2 per cell]
Au (0.0000, 0.5000, 0.1172) [2 per cell]


AcGe2Au10: relaxed, PBE-GGA.

## Properties
The value obtained for the formation energy is -189.9 meV per atom.

Lattice parameters (Å, degrees): 5.9679 12.8616 13.7736 90.00 90.00 90.00
Space group Fmmm (No. 69)
Symmetry-distinct sites (fractional):
Ac (0.0000, 0.0000, 0.0000) [4 per cell]
Ge (0.2500, 0.0000, 0.2500) [8 per cell]
Au (0.0000, 0.1087, 0.3893) [16 per cell]
Au (0.0000, 0.1691, 0.1721) [16 per cell]
Au (0.2500, 0.2500, 0.0000) [8 per cell]


AcGeAu: relaxed, PBE-GGA.

## Properties
The polymorph energy (0 for the lowest one) comes out at 21 meV/atom. The value obtained for the formation energy is -818.0 meV per atom.

Lattice parameters (Å, degrees): 4.5486 7.9960 8.6706 90.00 90.00 90.00
Space group Immm (No. 71)
Symmetry-distinct sites (fractional):
Ac (0.0000, 0.0000, 0.2402) [4 per cell]
Ge (0.0000, 0.3403, 0.0000) [4 per cell]
Au (0.0000, 0.3227, 0.5000) [4 per cell]


AcGe2Au: relaxed, PBE-GGA.

## Properties
The polymorph energy (0 for the lowest one) comes out at 291 meV/atom. The value obtained for the formation energy is -307.7 meV per atom.

Lattice parameters (Å, degrees): 5.4775 5.4775 11.3983 90.00 90.00 120.00
Space group R-3m (No. 166, hexagonal axes)
Symmetry-distinct sites (fractional):
Ac (0.0000, 0.0000, 0.0000) [3 per cell]
Ge (0.0000, 0.0000, 0.2751) [6 per cell]
Au (0.0000, 0.0000, 0.5000) [3 per cell]


Ac7Ge2Au2: relaxed, PBE-GGA.

## Properties
The value obtained for the formation energy is -291.8 meV per atom.

Lattice parameters (Å, degrees): 8.5995 11.9393 7.7525 90.00 90.00 90.00
Space group Cmmm (No. 65)
Symmetry-distinct sites (fractional):
Ac (0.0000, 0.0000, 0.0000) [2 per cell]
Ac (0.0000, 0.5000, 0.2602) [4 per cell]
Ac (0.2500, 0.2500, 0.2811) [8 per cell]
Ge (0.1623, 0.0000, 0.5000) [4 per cell]
Au (0.0000, 0.2847, 0.0000) [4 per cell]


AcGe4Au2: relaxed, PBE-GGA.

## Properties
The value obtained for the formation energy is -284.0 meV per atom.

Lattice parameters (Å, degrees): 5.1318 12.7066 4.7206 90.00 90.00 90.00
Space group Cmmm (No. 65)
Symmetry-distinct sites (fractional):
Ac (0.0000, 0.0000, 0.0000) [2 per cell]
Ge (0.0000, 0.1795, 0.5000) [4 per cell]
Ge (0.0000, 0.2842, 0.0000) [4 per cell]
Au (0.0000, 0.3948, 0.5000) [4 per cell]


AcGe2Au5: relaxed, PBE-GGA.

## Properties
The value obtained for the formation energy is -372.8 meV per atom.

Lattice parameters (Å, degrees): 4.5321 7.3007 10.3891 90.00 90.00 90.00
Space group Immm (No. 71)
Symmetry-distinct sites (fractional):
Ac (0.0000, 0.0000, 0.0000) [2 per cell]
Ge (0.0000, 0.5000, 0.2454) [4 per cell]
Au (0.0000, 0.1959, 0.3612) [8 per cell]
Au (0.0000, 0.5000, 0.0000) [2 per cell]


Ac5Ge4Au: relaxed, PBE-GGA.

## Properties
The value obtained for the formation energy is -600.6 meV per atom.

Lattice parameters (Å, degrees): 3.8058 3.8058 20.4799 90.00 90.00 90.00
Space group P4/mmm (No. 123)
Symmetry-distinct sites (fractional):
Ac (0.0000, 0.0000, 0.0000) [1 per cell]
Ac (0.0000, 0.0000, 0.2020) [2 per cell]
Ac (0.0000, 0.0000, 0.3997) [2 per cell]
Ge (0.5000, 0.5000, 0.1020) [2 per cell]
Ge (0.5000, 0.5000, 0.3049) [2 per cell]
Au (0.5000, 0.5000, 0.5000) [1 per cell]


AcGeAu4: relaxed, PBE-GGA.

## Properties
The polymorph energy (0 for the lowest one) comes out at 48 meV/atom. The value obtained for the formation energy is -378.3 meV per atom.

Lattice parameters (Å, degrees): 8.1009 8.1009 8.1009 90.00 90.00 90.00
Space group F-43m (No. 216)
Symmetry-distinct sites (fractional):
Ac (0.0000, 0.0000, 0.0000) [4 per cell]
Ge (0.2500, 0.2500, 0.2500) [4 per cell]
Au (0.1244, 0.1244, 0.6244) [16 per cell]